Record 1
Compound: PrSnSbI2
Source: the Open Quantum Materials Database
Functional: PBE
Structure: relaxed

The space group is P3m1 (No. 156) and the conventional cell measures 4.5082, 4.5082 and 11.6349 Å, with angles of 90.00, 90.00 and 120.00 degrees. The inequivalent atoms are Pr at (0.0000, 0.0000, 0.0000), Sn at (0.6667, 0.3333, 0.6876), Sb at (0.3333, 0.6667, 0.8450), I at (0.0000, 0.0000, 0.5201) and I at (0.6667, 0.3333, 0.1721).

As for the calculated total energy: -20.00 eV per formula unit.

---

Record 2
Compound: Gd3BC3
Source: the Open Quantum Materials Database
Functional: PBE
Structure: relaxed

The space group is Cmcm (No. 63) and the conventional cell measures 5.203, 5.257 and 15.984 Å, with angles of 90.00, 90.00 and 90.00 degrees. The inequivalent atoms are Gd at (0.000, 0.082, 0.101), Gd at (0.000, 0.411, 0.750), B at (0.000, 0.500, 0.000), C at (0.000, 0.099, 0.250) and C at (0.000, 0.406, 0.586).

As for the calculated total energy: -50.91 eV per formula unit.